[1]
A relaxed Zr2BePdC crystal, computed with PBE-GGA.

Energy relative to the elements (eV per atom): -0.4878
Density (g cm⁻³): 6.86

a = 4.6499 Å, b = 4.6499 Å, c = 3.4685 Å
α = 90.00°, β = 90.00°, γ = 90.00°
Element x y z (fractional)
Be: 0.0000 0.0000 0.5000
C: 0.0000 0.0000 0.0000
Zr: 0.0000 0.5000 0.0000
Zr: 0.5000 0.0000 0.0000
Pd: 0.5000 0.5000 0.5000

***

[2]
A relaxed Pm2BeC crystal, computed with PBE-GGA.

Energy relative to the elements (eV per atom): 0.5419
Density (g cm⁻³): 5.14
Polymorph energy (0 for the lowest one) (meV/atom): 676

a = 3.6023 Å, b = 3.6023 Å, c = 9.1722 Å
α = 78.68°, β = 78.68°, γ = 60.00°
Element x y z (fractional)
Be: 0.0000 0.0000 0.0000
C: 0.5000 0.5000 0.5000
Pm: 0.1146 0.1146 0.6563
Pm: 0.8854 0.8854 0.3437

***

[3]
A relaxed Pm2BeC crystal, computed with PBE-GGA.

Energy relative to the elements (eV per atom): -0.1344
Density (g cm⁻³): 6.03
Polymorph energy (0 for the lowest one) (meV/atom): 0

a = 3.4488 Å, b = 7.3042 Å, c = 7.2468 Å
α = 104.63°, β = 103.77°, γ = 90.00°
Element x y z (fractional)
Pm: 0.1284 0.5643 0.2567
Pm: 0.8716 0.4357 0.7433
Pm: 0.1284 0.0643 0.2567
Pm: 0.8716 0.9357 0.7433
Be: 0.5000 0.2500 0.0000
Be: 0.5000 0.7500 0.0000
C: 0.0000 0.7500 0.0000
C: 0.0000 0.2500 0.0000

***

[4]
A relaxed PmBe2Pt2C crystal, computed with PBE-GGA.

Energy relative to the elements (eV per atom): -0.5643
Density (g cm⁻³): 10.70

a = 3.8665 Å, b = 3.8665 Å, c = 6.4728 Å
α = 107.38°, β = 107.38°, γ = 90.00°
Element x y z (fractional)
Pm: 0.5000 0.5000 0.0000
Be: 0.8582 0.8582 0.7164
Be: 0.1418 0.1418 0.2836
Pt: 0.2500 0.7500 0.5000
Pt: 0.7500 0.2500 0.5000
C: 0.0000 0.0000 0.0000

***

[5]
A relaxed Pm2BeSiC crystal, computed with PBE-GGA.

Density (g cm⁻³): 5.81
Formation energy (no corrections) (eV/atom): -0.44

a = 3.8362 Å, b = 6.5045 Å, c = 8.1568 Å
α = 107.77°, β = 90.00°, γ = 90.00°
Element x y z (fractional)
Pm: 0.7500 0.7955 0.6070
Pm: 0.7500 0.7822 0.0393
Pm: 0.2500 0.2045 0.3930
Pm: 0.2500 0.2178 0.9607
Be: 0.2500 0.5477 0.7545
Be: 0.7500 0.4523 0.2455
Si: 0.2500 0.6572 0.2961
Si: 0.7500 0.3428 0.7039
C: 0.2500 0.8215 0.8251
C: 0.7500 0.1785 0.1749

***

[6]
A relaxed PmY2BeC2 crystal, computed with PBE-GGA.

Energy relative to the elements (eV per atom): -0.1365
Density (g cm⁻³): 5.29

a = 3.7041 Å, b = 5.4889 Å, c = 10.9840 Å
α = 90.00°, β = 90.00°, γ = 90.00°
Element x y z (fractional)
Pm: 0.5000 0.5000 0.0000
Pm: 0.0000 0.0000 0.5000
Y: 0.5000 0.9876 0.2049
Y: 0.0000 0.4876 0.2951
Y: 0.5000 0.0124 0.7951
Y: 0.0000 0.5124 0.7049
Be: 0.0000 0.0000 0.0000
Be: 0.5000 0.5000 0.5000
C: 0.5000 0.7205 0.3869
C: 0.5000 0.2795 0.6131
C: 0.0000 0.7795 0.8869
C: 0.0000 0.2205 0.1131

***

[7]
A relaxed PrBeC crystal, computed with PBE-GGA.

Energy relative to the elements (eV per atom): -0.0741
Density (g cm⁻³): 5.77
Polymorph energy (0 for the lowest one) (meV/atom): 0

a = 5.2808 Å, b = 5.5844 Å, c = 6.3236 Å
α = 90.00°, β = 90.00°, γ = 90.00°
Element x y z (fractional)
Pr: 0.7500 0.6373 0.3223
Pr: 0.2500 0.1373 0.1777
Pr: 0.7500 0.8627 0.8223
Pr: 0.2500 0.3627 0.6777
Be: 0.2500 0.8332 0.5567
Be: 0.2500 0.6668 0.0567
Be: 0.7500 0.1668 0.4433
Be: 0.7500 0.3332 0.9433
C: 0.2500 0.8383 0.8282
C: 0.7500 0.3383 0.6718
C: 0.7500 0.1617 0.1718
C: 0.2500 0.6617 0.3282

***

[8]
A relaxed PrBeC crystal, computed with PBE-GGA.

Energy relative to the elements (eV per atom): 0.0015
Density (g cm⁻³): 5.69
Polymorph energy (0 for the lowest one) (meV/atom): 76

a = 3.3596 Å, b = 5.3868 Å, c = 10.4431 Å
α = 90.00°, β = 90.00°, γ = 90.00°
Element x y z (fractional)
Pr: 0.7500 0.8957 0.6429
Pr: 0.7500 0.3957 0.8571
Pr: 0.2500 0.6043 0.1429
Pr: 0.2500 0.1043 0.3571
Be: 0.7500 0.5805 0.4364
Be: 0.7500 0.0805 0.0636
Be: 0.2500 0.9195 0.9364
Be: 0.2500 0.4195 0.5636
C: 0.2500 0.7165 0.4768
C: 0.7500 0.2835 0.5232
C: 0.7500 0.7835 0.9768
C: 0.2500 0.2165 0.0232

***

- Which formula does entry 2 have?
  Pm2BeC

***

- Among the records above, which one has the highest density?
  PmBe2Pt2C

***

What did the fourth record say?
A relaxed PmBe2Pt2C crystal, computed with PBE-GGA.

Energy relative to the elements (eV per atom): -0.5643
Density (g cm⁻³): 10.70

a = 3.8665 Å, b = 3.8665 Å, c = 6.4728 Å
α = 107.38°, β = 107.38°, γ = 90.00°
Element x y z (fractional)
Pm: 0.5000 0.5000 0.0000
Be: 0.8582 0.8582 0.7164
Be: 0.1418 0.1418 0.2836
Pt: 0.2500 0.7500 0.5000
Pt: 0.7500 0.2500 0.5000
C: 0.0000 0.0000 0.0000

***

- density of number 5 (Pm2BeSiC)?
  5.81 g cm⁻³